[1]
A plane-wave DFT calculation with GGA-PBE was carried out for crystalline V2BOsCl at its relaxed geometry.

Output
size of the total moment: 0.0 μB/f.u.
symmetry: P4/mmm
total energy: -30.26 eV for the cell shown
DOS(E_F): 3.2 states/eV/cell

Structure (POSCAR):
```
V2BOsCl
1.0
4.1265 0.0000 0.0000
0.0000 4.3145 0.0000
0.0000 0.0000 4.1265
B Cl Os V
1 1 1 2
Cartesian
2.0632 2.1572 2.0632
0.0000 0.0000 0.0000
0.0000 2.1572 0.0000
0.0000 0.0000 2.0632
2.0632 0.0000 0.0000
```



[2]
A plane-wave DFT calculation with GGA-PBE was carried out for crystalline B2PCl at its relaxed geometry.

Output
size of the total moment: 0.0 μB/f.u.
symmetry: I-42d
total energy: -35.23 eV for the cell shown
DOS(E_F): 3.1 states/eV/cell

Structure (POSCAR):
```
B2PCl
1.0
5.0854 0.0000 0.0000
0.0000 5.0854 0.0000
2.5427 2.5427 4.3654
P B Cl
2 4 2
Cartesian
2.5427 2.5427 0.0000
2.5427 5.0854 2.1827
3.4155 1.2713 1.0913
1.6699 3.8140 1.0913
3.8140 4.2126 3.2740
6.3567 5.9582 3.2740
0.0000 0.0000 0.0000
5.0854 2.5427 2.1827
```



[3]
A plane-wave DFT calculation with GGA-PBE was carried out for crystalline B2PCl at its relaxed geometry.

Output
size of the total moment: 0.0 μB/f.u.
symmetry: Fm-3m
total energy: -13.12 eV for the cell shown
DOS(E_F): 2.0 states/eV/cell

Structure (POSCAR):
```
B2PCl
1.0
-1.7462 -3.6707 -0.3549
-3.9816 -0.4484 0.7715
-2.6004 -0.7352 -3.0572
P B Cl
1 2 1
Cartesian
0.0000 0.0000 0.0000
-2.0820 -1.2136 -0.6602
-6.2461 -3.6408 -1.9805
-4.1641 -2.4272 -1.3203
```



[4]
A plane-wave DFT calculation with GGA-PBE was carried out for crystalline BPCl2 at its relaxed geometry.

Output
size of the total moment: 0.0 μB/f.u.
symmetry: R-3m
total energy: -13.27 eV for the cell shown
DOS(E_F): 1.6 states/eV/cell

Structure (POSCAR):
```
BPCl2
1.0
0.1181 8.2387 5.0118
1.8264 6.4825 6.9029
3.1550 7.9213 4.5064
P B Cl
1 1 2
Cartesian
2.5497 11.3212 8.2105
0.0000 0.0000 0.0000
4.8020 21.3217 15.4633
0.2974 1.3207 0.9578
```



[5]
A plane-wave DFT calculation with GGA-PBE was carried out for crystalline BPCl2 at its relaxed geometry.

Output
size of the total moment: 0.0 μB/f.u.
symmetry: R-3m
total energy: -11.80 eV for the cell shown
DOS(E_F): 1.0 states/eV/cell

Structure (POSCAR):
```
BPCl2
1.0
1.8876 0.0000 7.9932
-0.9438 1.6347 7.9932
-0.9438 -1.6347 7.9932
P B Cl
1 1 2
Cartesian
0.0000 0.0000 0.0000
0.0000 0.0000 11.9898
0.0000 0.0000 21.6185
0.0000 0.0000 2.3610
```



[6]
A plane-wave DFT calculation with GGA-PBE was carried out for crystalline BP2Cl at its relaxed geometry.

Output
size of the total moment: 0.0 μB/f.u.
symmetry: I-42d
total energy: -34.74 eV for the cell shown
DOS(E_F): 2.7 states/eV/cell

Structure (POSCAR):
```
BP2Cl
1.0
5.6983 0.0000 0.0000
0.0000 5.6983 0.0000
2.8491 2.8491 4.2476
P B Cl
4 2 2
Cartesian
3.6757 1.4246 1.0619
2.0226 4.2737 1.0619
4.2737 4.8717 3.1857
7.1228 6.5248 3.1857
2.8491 2.8491 0.0000
2.8491 5.6983 2.1238
0.0000 0.0000 0.0000
5.6983 2.8491 2.1238
```



[7]
A plane-wave DFT calculation with GGA-PBE was carried out for crystalline BP2Cl at its relaxed geometry.

Output
size of the total moment: 0.0 μB/f.u.
symmetry: Fm-3m
total energy: -13.65 eV for the cell shown
DOS(E_F): 1.8 states/eV/cell

Structure (POSCAR):
```
BP2Cl
1.0
-3.6280 -0.9896 2.0311
-2.0841 2.9908 2.2314
-3.7311 1.5190 -1.4276
P B Cl
2 1 1
Cartesian
-2.3608 0.8801 0.7087
-7.0824 2.6402 2.1261
0.0000 0.0000 0.0000
-4.7216 1.7601 1.4174
```



[8]
A plane-wave DFT calculation with GGA-PBE was carried out for crystalline BPCl2 at its relaxed geometry.

Output
size of the total moment: 0.1 μB/f.u.
symmetry: Fm-3m
total energy: -9.93 eV for the cell shown
DOS(E_F): 4.2 states/eV/cell

Structure (POSCAR):
```
BPCl2
1.0
0.0000 3.2380 3.2380
3.2380 0.0000 3.2380
3.2380 3.2380 0.0000
P B Cl
1 1 2
Cartesian
3.2380 3.2380 3.2380
0.0000 0.0000 0.0000
1.6190 1.6190 1.6190
4.8571 4.8571 4.8571
```



[9]
A plane-wave DFT calculation with GGA-PBE was carried out for crystalline B2PCl4 at its relaxed geometry.

Output
size of the total moment: 0.4 μB/f.u.
symmetry: I4/mmm
total energy: -21.97 eV for the cell shown
DOS(E_F): 2.0 states/eV/cell

Structure (POSCAR):
```
B2PCl4
1.0
-1.2315 4.1000 -1.7951
-1.5545 -2.1377 -3.8161
-12.2677 -0.0844 2.2210
P B Cl
1 2 4
Cartesian
0.0000 0.0000 0.0000
-7.8248 1.4686 -3.2821
-7.2288 0.4093 -0.1081
-6.2776 1.6202 -3.9973
-8.7761 0.2577 0.6071
-0.7772 -1.0688 -1.9081
-0.6157 2.0500 -0.8975
```



[10]
A plane-wave DFT calculation with GGA-PBE was carried out for crystalline BPCl2 at its relaxed geometry.

Output
size of the total moment: 0.0 μB/f.u.
symmetry: I-42d
total energy: -22.89 eV for the cell shown
DOS(E_F): 1.4 states/eV/cell

Structure (POSCAR):
```
BPCl2
1.0
-0.2460 -0.8548 6.2931
6.2960 -0.8593 0.1294
3.6147 3.5575 3.8340
P B Cl
2 2 4
Cartesian
0.0000 0.0000 0.0000
3.1969 0.9228 6.6691
3.0250 -0.8571 3.2112
6.4678 0.9206 3.5873
1.5982 0.4605 3.3411
4.7467 0.0326 3.3927
6.5472 1.8114 5.3161
6.4374 1.3822 8.4629
```



[11]
A plane-wave DFT calculation with GGA-PBE was carried out for crystalline BP2PbCl at its relaxed geometry.

Output
size of the total moment: 2.5 μB/f.u.
symmetry: P4/mmm
total energy: -14.15 eV for the cell shown
DOS(E_F): 3.7 states/eV/cell

Structure (POSCAR):
```
BP2PbCl
1.0
-1.4817 3.0498 4.5220
-5.2184 0.5706 -2.0947
-1.6146 -4.8070 2.7130
Pb P B Cl
1 2 1 1
Cartesian
0.0000 0.0000 0.0000
-2.6092 0.2853 -1.0473
-0.7408 1.5249 2.2610
-4.1573 -0.5933 2.5702
-0.8073 -2.4035 1.3565
```



[12]
A plane-wave DFT calculation with GGA-PBE was carried out for crystalline BPPbCl2 at its relaxed geometry.

Output
size of the total moment: 1.0 μB/f.u.
symmetry: P4/mmm
total energy: -14.16 eV for the cell shown
DOS(E_F): 3.2 states/eV/cell

Structure (POSCAR):
```
BPPbCl2
1.0
-4.3415 -2.7190 -1.7913
-0.1146 -2.8561 4.6130
-3.2140 3.6825 2.2001
Pb P B Cl
1 1 1 2
Cartesian
0.0000 0.0000 0.0000
-1.6070 1.8413 1.1001
-3.8351 -0.9462 2.5109
-0.0573 -1.4280 2.3065
-2.1708 -1.3595 -0.8956
```



Which formula does entry 2 have? B2PCl



Which value of total energy does entry 8 give? -9.93 eV for the cell shown



Repeat the seventh record exactly.
A plane-wave DFT calculation with GGA-PBE was carried out for crystalline BP2Cl at its relaxed geometry.

Output
size of the total moment: 0.0 μB/f.u.
symmetry: Fm-3m
total energy: -13.65 eV for the cell shown
DOS(E_F): 1.8 states/eV/cell

Structure (POSCAR):
```
BP2Cl
1.0
-3.6280 -0.9896 2.0311
-2.0841 2.9908 2.2314
-3.7311 1.5190 -1.4276
P B Cl
2 1 1
Cartesian
-2.3608 0.8801 0.7087
-7.0824 2.6402 2.1261
0.0000 0.0000 0.0000
-4.7216 1.7601 1.4174
```



Copy entry 12 word for word.
A plane-wave DFT calculation with GGA-PBE was carried out for crystalline BPPbCl2 at its relaxed geometry.

Output
size of the total moment: 1.0 μB/f.u.
symmetry: P4/mmm
total energy: -14.16 eV for the cell shown
DOS(E_F): 3.2 states/eV/cell

Structure (POSCAR):
```
BPPbCl2
1.0
-4.3415 -2.7190 -1.7913
-0.1146 -2.8561 4.6130
-3.2140 3.6825 2.2001
Pb P B Cl
1 1 1 2
Cartesian
0.0000 0.0000 0.0000
-1.6070 1.8413 1.1001
-3.8351 -0.9462 2.5109
-0.0573 -1.4280 2.3065
-2.1708 -1.3595 -0.8956
```